Record 1
The following is a DFT calculation (PBE) of crystalline AcTbPO at its relaxed geometry. Values from VASP.

Values from the calculation:
SG: P4/nmm
Density (g/cm³): 7.61
E above lowest polymorph (kJ/mol of formula units): 10.5

Structure (Quantum ESPRESSO input):
```
&SYSTEM
  ibrav = 0, nat = 8, ntyp = 4
/
ATOMIC_SPECIES
Ac 227.00 Ac.upf
Tb 158.93 Tb.upf
P 30.97 P.upf
O 16.00 O.upf
CELL_PARAMETERS angstrom
4.5099 0.0000 0.0000
0.0000 4.5099 0.0000
0.0000 0.0000 9.2941
ATOMIC_POSITIONS angstrom
Ac 1.1275 1.1275 1.1177
Ac 3.3824 3.3824 8.1765
Tb 1.1275 3.3824 4.6471
Tb 3.3824 1.1275 4.6471
P 1.1275 1.1275 6.2770
P 3.3824 3.3824 3.0171
O 1.1275 3.3824 0.0000
O 3.3824 1.1275 0.0000
```

Record 2
The following is a DFT calculation (PBE) of crystalline AcTbPO at its relaxed geometry. Values from VASP.

Values from the calculation:
SG: Pmc2_1
Density (g/cm³): 6.75
E above lowest polymorph (kJ/mol of formula units): 16.4

Structure (Quantum ESPRESSO input):
```
&SYSTEM
  ibrav = 0, nat = 8, ntyp = 4
/
ATOMIC_SPECIES
Ac 227.00 Ac.upf
Tb 158.93 Tb.upf
P 30.97 P.upf
O 16.00 O.upf
CELL_PARAMETERS angstrom
4.5033 0.0000 0.0000
0.0000 7.5415 0.0000
0.0000 0.0000 6.2748
ATOMIC_POSITIONS angstrom
Ac 0.0000 1.5418 0.0000
Ac 0.0000 5.9997 3.1374
Tb 2.2517 2.8769 3.5447
Tb 2.2517 4.6646 0.4073
P 0.0000 1.4417 3.1186
P 0.0000 6.0998 6.2560
O 2.2517 2.6188 5.7933
O 2.2517 4.9227 2.6559
```

Record 3
The following is a DFT calculation (PBE) of crystalline AcTbPO at its relaxed geometry. Values from VASP.

Values from the calculation:
SG: P4/nmm
Density (g/cm³): 7.78
E above lowest polymorph (kJ/mol of formula units): 162.7

Structure (Quantum ESPRESSO input):
```
&SYSTEM
  ibrav = 0, nat = 8, ntyp = 4
/
ATOMIC_SPECIES
Ac 227.00 Ac.upf
Tb 158.93 Tb.upf
P 30.97 P.upf
O 16.00 O.upf
CELL_PARAMETERS angstrom
4.6485 0.0000 0.0000
0.0000 4.6485 0.0000
0.0000 0.0000 8.5513
ATOMIC_POSITIONS angstrom
Ac 1.1621 3.4864 0.0000
Ac 3.4864 1.1621 0.0000
Tb 1.1621 1.1621 3.7155
Tb 3.4864 3.4864 4.8358
P 1.1621 1.1621 6.6692
P 3.4864 3.4864 1.8821
O 1.1621 3.4864 4.2757
O 3.4864 1.1621 4.2757
```

Record 4
The following is a DFT calculation (PBE) of crystalline AcTbPO at its relaxed geometry. Values from VASP.

Values from the calculation:
SG: Pmc2_1
Density (g/cm³): 7.57
E above lowest polymorph (kJ/mol of formula units): 0.0

Structure (Quantum ESPRESSO input):
```
&SYSTEM
  ibrav = 0, nat = 8, ntyp = 4
/
ATOMIC_SPECIES
Ac 227.00 Ac.upf
Tb 158.93 Tb.upf
P 30.97 P.upf
O 16.00 O.upf
CELL_PARAMETERS angstrom
4.2892 0.0000 0.0000
0.0000 5.9961 0.0000
0.0000 0.0000 7.3866
ATOMIC_POSITIONS angstrom
Ac 0.0000 0.5439 0.0000
Ac 0.0000 5.4522 3.6933
Tb 2.1446 2.2979 2.5560
Tb 2.1446 3.6981 6.2493
P 2.1446 1.0819 5.1859
P 2.1446 4.9142 1.4926
O 0.0000 1.6565 2.3025
O 0.0000 4.3395 5.9958
```

Record 5
The following is a DFT calculation (PBE) of crystalline AcTcPO at its relaxed geometry. Values from VASP.

Values from the calculation:
SG: Pmc2_1
Density (g/cm³): 7.15
E above lowest polymorph (kJ/mol of formula units): 278.1

Structure (Quantum ESPRESSO input):
```
&SYSTEM
  ibrav = 0, nat = 8, ntyp = 4
/
ATOMIC_SPECIES
Ac 227.00 Ac.upf
Tc 98.00 Tc.upf
P 30.97 P.upf
O 16.00 O.upf
CELL_PARAMETERS angstrom
4.2908 0.0000 0.0000
0.0000 6.5019 0.0000
0.0000 0.0000 6.1903
ATOMIC_POSITIONS angstrom
Ac 0.0000 1.4454 0.0000
Ac 0.0000 5.0565 3.0951
Tc 2.1454 2.4831 3.5175
Tc 2.1454 4.0188 0.4224
P 0.0000 1.6567 3.0755
P 0.0000 4.8451 6.1706
O 2.1454 2.2908 5.5317
O 2.1454 4.2111 2.4366
```

Record 6
The following is a DFT calculation (PBE) of crystalline AcTcPO at its relaxed geometry. Values from VASP.

Values from the calculation:
SG: Pmc2_1
Density (g/cm³): 7.68
E above lowest polymorph (kJ/mol of formula units): 263.3

Structure (Quantum ESPRESSO input):
```
&SYSTEM
  ibrav = 0, nat = 8, ntyp = 4
/
ATOMIC_SPECIES
Ac 227.00 Ac.upf
Tc 98.00 Tc.upf
P 30.97 P.upf
O 16.00 O.upf
CELL_PARAMETERS angstrom
4.0151 0.0000 0.0000
0.0000 6.1063 0.0000
0.0000 0.0000 6.5639
ATOMIC_POSITIONS angstrom
Ac 0.0000 1.3247 0.0000
Ac 0.0000 4.7817 3.2819
Tc 2.0075 1.6050 2.7293
Tc 2.0075 4.5013 6.0113
P 2.0075 2.7526 4.6074
P 2.0075 3.3537 1.3254
O 0.0000 0.9459 2.4536
O 0.0000 5.1604 5.7355
```

Record 7
The following is a DFT calculation (PBE) of crystalline AcTcPO at its relaxed geometry. Values from VASP.

Values from the calculation:
SG: P4/nmm
Density (g/cm³): 6.92
E above lowest polymorph (kJ/mol of formula units): 735.8

Structure (Quantum ESPRESSO input):
```
&SYSTEM
  ibrav = 0, nat = 8, ntyp = 4
/
ATOMIC_SPECIES
Ac 227.00 Ac.upf
Tc 98.00 Tc.upf
P 30.97 P.upf
O 16.00 O.upf
CELL_PARAMETERS angstrom
4.4492 0.0000 0.0000
0.0000 4.4492 0.0000
0.0000 0.0000 9.0242
ATOMIC_POSITIONS angstrom
Ac 1.1123 3.3369 0.0000
Ac 3.3369 1.1123 0.0000
Tc 1.1123 1.1123 4.2573
Tc 3.3369 3.3369 4.7668
P 1.1123 1.1123 2.0006
P 3.3369 3.3369 7.0236
O 1.1123 3.3369 4.5121
O 3.3369 1.1123 4.5121
```

Record 8
The following is a DFT calculation (PBE) of crystalline AcTcPO at its relaxed geometry. Values from VASP.

Values from the calculation:
SG: P4/nmm
Density (g/cm³): 8.12
E above lowest polymorph (kJ/mol of formula units): 0.0

Structure (Quantum ESPRESSO input):
```
&SYSTEM
  ibrav = 0, nat = 8, ntyp = 4
/
ATOMIC_SPECIES
Ac 227.00 Ac.upf
Tc 98.00 Tc.upf
P 30.97 P.upf
O 16.00 O.upf
CELL_PARAMETERS angstrom
4.1670 0.0000 0.0000
0.0000 4.1670 0.0000
0.0000 0.0000 8.7646
ATOMIC_POSITIONS angstrom
Ac 1.0417 1.0417 1.3000
Ac 3.1252 3.1252 7.4646
Tc 1.0417 3.1252 4.3823
Tc 3.1252 1.0417 4.3823
P 1.0417 1.0417 5.4941
P 3.1252 3.1252 3.2705
O 1.0417 3.1252 0.0000
O 3.1252 1.0417 0.0000
```

Record 9
The following is a DFT calculation (PBE) of crystalline AcZrPO at its relaxed geometry. Values from VASP.

Values from the calculation:
SG: P4/nmm
Density (g/cm³): 6.96
E above lowest polymorph (kJ/mol of formula units): 0.0

Structure (Quantum ESPRESSO input):
```
&SYSTEM
  ibrav = 0, nat = 8, ntyp = 4
/
ATOMIC_SPECIES
Ac 227.00 Ac.upf
Zr 91.22 Zr.upf
P 30.97 P.upf
O 16.00 O.upf
CELL_PARAMETERS angstrom
4.3255 0.0000 0.0000
0.0000 4.3255 0.0000
0.0000 0.0000 9.3175
ATOMIC_POSITIONS angstrom
Ac 1.0814 1.0814 1.2184
Ac 3.2442 3.2442 8.0991
Zr 1.0814 3.2442 4.6588
Zr 3.2442 1.0814 4.6588
P 1.0814 1.0814 6.1818
P 3.2442 3.2442 3.1357
O 1.0814 3.2442 0.0000
O 3.2442 1.0814 0.0000
```

Record 10
The following is a DFT calculation (PBE) of crystalline AcZrPO at its relaxed geometry. Values from VASP.

Values from the calculation:
SG: Pmc2_1
Density (g/cm³): 6.18
E above lowest polymorph (kJ/mol of formula units): 112.3

Structure (Quantum ESPRESSO input):
```
&SYSTEM
  ibrav = 0, nat = 8, ntyp = 4
/
ATOMIC_SPECIES
Ac 227.00 Ac.upf
Zr 91.22 Zr.upf
P 30.97 P.upf
O 16.00 O.upf
CELL_PARAMETERS angstrom
4.2911 0.0000 0.0000
0.0000 7.3441 0.0000
0.0000 0.0000 6.2248
ATOMIC_POSITIONS angstrom
Ac 0.0000 1.5457 0.0000
Ac 0.0000 5.7984 3.1124
Zr 2.1455 2.8435 3.4377
Zr 2.1455 4.5006 0.3253
P 0.0000 1.4696 3.0848
P 0.0000 5.8745 6.1972
O 2.1455 2.6318 5.5353
O 2.1455 4.7123 2.4229
```

Record 11
The following is a DFT calculation (PBE) of crystalline AcZrPO at its relaxed geometry. Values from VASP.

Values from the calculation:
SG: Pmc2_1
Density (g/cm³): 6.71
E above lowest polymorph (kJ/mol of formula units): 90.0

Structure (Quantum ESPRESSO input):
```
&SYSTEM
  ibrav = 0, nat = 8, ntyp = 4
/
ATOMIC_SPECIES
Ac 227.00 Ac.upf
Zr 91.22 Zr.upf
P 30.97 P.upf
O 16.00 O.upf
CELL_PARAMETERS angstrom
4.0580 0.0000 0.0000
0.0000 6.5538 0.0000
0.0000 0.0000 6.7929
ATOMIC_POSITIONS angstrom
Ac 0.0000 1.6226 0.0000
Ac 0.0000 4.9312 3.3964
Zr 2.0290 1.4147 3.0419
Zr 2.0290 5.1391 6.4383
P 2.0290 3.0969 4.9296
P 2.0290 3.4569 1.5331
O 0.0000 0.8699 2.7597
O 0.0000 5.6839 6.1561
```

Record 12
The following is a DFT calculation (PBE) of crystalline AcZrPO at its relaxed geometry. Values from VASP.

Values from the calculation:
SG: P4/nmm
Density (g/cm³): 6.70
E above lowest polymorph (kJ/mol of formula units): 327.1

Structure (Quantum ESPRESSO input):
```
&SYSTEM
  ibrav = 0, nat = 8, ntyp = 4
/
ATOMIC_SPECIES
Ac 227.00 Ac.upf
Zr 91.22 Zr.upf
P 30.97 P.upf
O 16.00 O.upf
CELL_PARAMETERS angstrom
4.5717 0.0000 0.0000
0.0000 4.5717 0.0000
0.0000 0.0000 8.6662
ATOMIC_POSITIONS angstrom
Ac 1.1429 3.4288 0.0000
Ac 3.4288 1.1429 0.0000
Zr 1.1429 1.1429 4.2069
Zr 3.4288 3.4288 4.4593
P 1.1429 1.1429 6.7173
P 3.4288 3.4288 1.9489
O 1.1429 3.4288 4.3331
O 3.4288 1.1429 4.3331
```

Record 13
The following is a DFT calculation (PBE) of crystalline AcPa4O12 at its relaxed geometry. Values from VASP.

Values from the calculation:
Calculated total energy (eV for the cell shown): -150.1
SG: Im-3
Density (g/cm³): 6.89

Structure (Quantum ESPRESSO input):
```
&SYSTEM
  ibrav = 0, nat = 17, ntyp = 3
/
ATOMIC_SPECIES
Ac 227.00 Ac.upf
Pa 231.04 Pa.upf
O 16.00 O.upf
CELL_PARAMETERS angstrom
-4.3261 4.3261 4.3261
4.3261 -4.3261 4.3261
4.3261 4.3261 -4.3261
ATOMIC_POSITIONS angstrom
Ac 0.0000 0.0000 0.0000
Pa 2.1630 2.1630 -2.1630
Pa 2.1630 -2.1630 2.1630
Pa -2.1630 2.1630 2.1630
Pa 2.1630 2.1630 2.1630
O 4.3261 2.3609 -2.2917
O 2.0344 0.0000 1.9652
O 6.6178 0.0000 1.9652
O 1.9652 2.0344 0.0000
O 2.3609 -2.2917 4.3261
O 0.0000 1.9652 2.0344
O 4.3261 2.3609 2.2917
O 1.9652 6.6178 0.0000
O 2.3609 2.2917 4.3261
O -2.2917 4.3261 2.3609
O 2.2917 4.3261 2.3609
O 0.0000 1.9652 6.6178
```

Record 14
The following is a DFT calculation (PBE) of crystalline Ac2Pd2O5 at its relaxed geometry. Values from VASP.

Values from the calculation:
SG: P4/mmm
Density (g/cm³): 8.13
E above lowest polymorph (kJ/mol of formula units): 516.1

Structure (Quantum ESPRESSO input):
```
&SYSTEM
  ibrav = 0, nat = 9, ntyp = 3
/
ATOMIC_SPECIES
Ac 227.00 Ac.upf
Pd 106.42 Pd.upf
O 16.00 O.upf
CELL_PARAMETERS angstrom
3.9091 0.0000 0.0000
0.0000 3.9091 0.0000
0.0000 0.0000 9.9768
ATOMIC_POSITIONS angstrom
Ac 0.0000 0.0000 2.4306
Ac 0.0000 0.0000 7.5462
Pd 1.9546 1.9546 0.0000
Pd 1.9546 1.9546 4.9884
O 0.0000 0.0000 0.0000
O 0.0000 1.9546 3.7756
O 0.0000 1.9546 6.2012
O 1.9546 0.0000 3.7756
O 1.9546 0.0000 6.2012
```

Record 15
The following is a DFT calculation (PBE) of crystalline AcPd2O4 at its relaxed geometry. Values from VASP.

Values from the calculation:
Calculated total energy (eV for the cell shown): -84.3
SG: Fd-3m
Density (g/cm³): 8.06

Structure (Quantum ESPRESSO input):
```
&SYSTEM
  ibrav = 0, nat = 14, ntyp = 3
/
ATOMIC_SPECIES
Ac 227.00 Ac.upf
Pd 106.42 Pd.upf
O 16.00 O.upf
CELL_PARAMETERS angstrom
0.0000 4.7000 4.7000
4.7000 0.0000 4.7000
4.7000 4.7000 0.0000
ATOMIC_POSITIONS angstrom
Ac 1.1750 1.1750 1.1750
Ac 8.2250 8.2250 8.2250
Pd 4.7000 2.3500 2.3500
Pd 2.3500 4.7000 2.3500
Pd 2.3500 2.3500 4.7000
Pd 4.7000 4.7000 4.7000
O 2.5448 2.5448 2.5448
O 4.5052 4.5052 2.5448
O 4.5052 2.5448 4.5052
O 6.8552 4.8948 4.8948
O 2.5448 4.5052 4.5052
O 4.8948 6.8552 4.8948
O 4.8948 4.8948 6.8552
O 6.8552 6.8552 6.8552
```

Record 16
The following is a DFT calculation (PBE) of crystalline AcPdO3 at its relaxed geometry. Values from VASP.

Values from the calculation:
Calculated total energy (eV for the cell shown): -64.6
SG: R-3
Density (g/cm³): 8.43

Structure (Quantum ESPRESSO input):
```
&SYSTEM
  ibrav = 0, nat = 10, ntyp = 3
/
ATOMIC_SPECIES
Ac 227.00 Ac.upf
Pd 106.42 Pd.upf
O 16.00 O.upf
CELL_PARAMETERS angstrom
2.9383 1.6965 5.0263
-2.9383 1.6965 5.0263
0.0000 -3.3929 5.0263
ATOMIC_POSITIONS angstrom
Ac 0.0000 0.0000 1.8980
Ac 0.0000 0.0000 13.1808
Pd 0.0000 0.0000 5.1615
Pd 0.0000 0.0000 9.9174
O -1.9068 -0.3216 6.1661
O -0.6749 -1.8122 8.9128
O 1.2319 -1.4906 6.1661
O -1.2319 1.4906 8.9128
O 0.6749 1.8122 6.1661
O 1.9068 0.3216 8.9128
```

Record 17
The following is a DFT calculation (PBE) of crystalline Ac2Pd2O5 at its relaxed geometry. Values from VASP.

Values from the calculation:
SG: P4/mmm
Density (g/cm³): 9.91
E above lowest polymorph (kJ/mol of formula units): 0.0

Structure (Quantum ESPRESSO input):
```
&SYSTEM
  ibrav = 0, nat = 9, ntyp = 3
/
ATOMIC_SPECIES
Ac 227.00 Ac.upf
Pd 106.42 Pd.upf
O 16.00 O.upf
CELL_PARAMETERS angstrom
4.1320 0.0000 0.0000
0.0000 4.1320 0.0000
0.0000 0.0000 7.3306
ATOMIC_POSITIONS angstrom
Ac 0.0000 0.0000 0.0000
Ac 0.0000 0.0000 3.6653
Pd 2.0660 2.0660 1.4617
Pd 2.0660 2.0660 5.8690
O 0.0000 2.0660 1.6847
O 0.0000 2.0660 5.6460
O 2.0660 0.0000 1.6847
O 2.0660 0.0000 5.6460
O 2.0660 2.0660 3.6653
```

Record 18
The following is a DFT calculation (PBE) of crystalline Ac2Pm2O5 at its relaxed geometry. Values from VASP.

Values from the calculation:
SG: P4/mmm
Density (g/cm³): 8.19
E above lowest polymorph (kJ/mol of formula units): 0.0

Structure (Quantum ESPRESSO input):
```
&SYSTEM
  ibrav = 0, nat = 9, ntyp = 3
/
ATOMIC_SPECIES
Ac 227.00 Ac.upf
Pm 145.00 Pm.upf
O 16.00 O.upf
CELL_PARAMETERS angstrom
4.5001 0.0000 0.0000
0.0000 4.5001 0.0000
0.0000 0.0000 8.2459
ATOMIC_POSITIONS angstrom
Ac 0.0000 0.0000 0.0000
Ac 0.0000 0.0000 4.1230
Pm 2.2500 2.2500 1.9279
Pm 2.2500 2.2500 6.3181
O 0.0000 2.2500 2.1013
O 0.0000 2.2500 6.1446
O 2.2500 0.0000 2.1013
O 2.2500 0.0000 6.1446
O 2.2500 2.2500 4.1230
```

Record 19
The following is a DFT calculation (PBE) of crystalline Ac2Pm2O5 at its relaxed geometry. Values from VASP.

Values from the calculation:
SG: P4/mmm
Density (g/cm³): 8.27
E above lowest polymorph (kJ/mol of formula units): 430.0

Structure (Quantum ESPRESSO input):
```
&SYSTEM
  ibrav = 0, nat = 9, ntyp = 3
/
ATOMIC_SPECIES
Ac 227.00 Ac.upf
Pm 145.00 Pm.upf
O 16.00 O.upf
CELL_PARAMETERS angstrom
4.5043 0.0000 0.0000
0.0000 4.5043 0.0000
0.0000 0.0000 8.1563
ATOMIC_POSITIONS angstrom
Ac 0.0000 0.0000 1.8335
Ac 0.0000 0.0000 6.3228
Pm 2.2521 2.2521 0.0000
Pm 2.2521 2.2521 4.0782
O 0.0000 0.0000 4.0782
O 0.0000 2.2521 2.4394
O 0.0000 2.2521 5.7170
O 2.2521 0.0000 2.4394
O 2.2521 0.0000 5.7170
```

Record 20
The following is a DFT calculation (PBE) of crystalline AcPr2O4 at its relaxed geometry. Values from VASP.

Values from the calculation:
Calculated total energy (eV for the cell shown): -109.7
SG: Fd-3m
Density (g/cm³): 7.07

Structure (Quantum ESPRESSO input):
```
&SYSTEM
  ibrav = 0, nat = 14, ntyp = 3
/
ATOMIC_SPECIES
Ac 227.00 Ac.upf
Pr 140.91 Pr.upf
O 16.00 O.upf
CELL_PARAMETERS angstrom
0.0000 5.1231 5.1231
5.1231 0.0000 5.1231
5.1231 5.1231 0.0000
ATOMIC_POSITIONS angstrom
Ac 1.2808 1.2808 1.2808
Ac 8.9653 8.9653 8.9653
Pr 5.1231 2.5615 2.5615
Pr 2.5615 5.1231 2.5615
Pr 2.5615 2.5615 5.1231
Pr 5.1231 5.1231 5.1231
O 2.6881 2.6881 2.6881
O 4.9965 4.9965 2.6881
O 4.9965 2.6881 4.9965
O 7.5580 5.2496 5.2496
O 2.6881 4.9965 4.9965
O 5.2496 7.5580 5.2496
O 5.2496 5.2496 7.5580
O 7.5580 7.5580 7.5580
```